Entry from Alexandria via LeMat-Bulk: a geometry-optimized Ac3Nd2Tm2 structure (PBE).

The calculation puts the calculated density at 8.205 Mg/m³. The value obtained for the total energy is -4.3418 eV per atom. The value obtained for the energy of formation is 0.059 eV per atom.

It has space group Cmmm (No. 65), with a = 5.6362 Å, b = 25.1545 Å, c = 3.7326 Å, α = 90.00°, β = 90.00° and γ = 90.00°. The asymmetric unit holds Ac at (0.0000, 0.0000, 0.0000), Ac at (0.0000, 0.1552, 0.0000), Nd at (0.0000, 0.4261, 0.5000) and Tm at (0.0000, 0.2849, 0.5000).

***

Entry from Alexandria via LeMat-Bulk: a geometry-optimized K4Cd2H structure (PBE).

The calculation puts the calculated density at 2.285 Mg/m³. The value obtained for the total energy is -1.3605 eV per atom.

It has space group I4/mmm (No. 139), with a = 5.4165 Å, b = 5.4165 Å, c = 18.9376 Å, α = 90.00°, β = 90.00° and γ = 90.00°. The asymmetric unit holds K at (0.0000, 0.0000, 0.1713), K at (0.0000, 0.5000, 0.0000), Cd at (0.0000, 0.0000, 0.3623) and H at (0.0000, 0.0000, 0.0000).

***

Question: Which of these has the highest calculated density?
Answer: Ac3Nd2Tm2